# 1
Entry from Alexandria: a relaxed NiAs3 crystal (PBE-GGA).

Cell: 3.095 3.095 8.399 Å, 90.00 90.00 120.00°
Element x y z (fractional)
1 As 0.000 0.000 0.549
2 As 0.000 0.000 0.951
3 As 0.667 0.333 0.250
4 Ni 0.667 0.333 0.750

Properties
offset from the most stable computed form = 0.2208 eV/atom
formation energy = 0.232 eV per atom



# 2
Entry from Alexandria: a relaxed Ni2As3 crystal (PBE-GGA).

Cell: 6.242 6.241 5.988 Å, 58.57 58.59 60.00°
Element x y z (fractional)
1 Ni 0.341 0.341 0.476
2 Ni 0.841 0.841 0.976
3 Ni 0.659 0.659 0.524
4 Ni 0.159 0.159 0.024
5 As 0.919 0.250 0.750
6 As 0.581 0.919 0.750
7 As 0.250 0.581 0.750
8 As 0.750 0.419 0.250
9 As 0.081 0.750 0.250
10 As 0.419 0.081 0.250

Properties
offset from the most stable computed form = 0.0000 eV/atom
formation energy = -0.200 eV per atom



# 3
Entry from Alexandria: a relaxed Ni5As3 crystal (PBE-GGA).

Cell: 5.449 5.449 3.782 Å, 90.00 90.00 110.92°
Element x y z (fractional)
1 Ni 0.000 0.000 0.000
2 Ni 0.716 0.716 0.500
3 Ni 0.000 0.500 0.000
4 Ni 0.284 0.284 0.500
5 Ni 0.500 0.000 0.000
6 As 0.819 0.181 0.500
7 As 0.181 0.819 0.500
8 As 0.500 0.500 0.000

Properties
offset from the most stable computed form = 0.0656 eV/atom
formation energy = -0.131 eV per atom



# 4
Entry from Alexandria: a relaxed Ni2As3 crystal (PBE-GGA).

Cell: 7.517 7.517 7.517 Å, 27.50 27.50 27.50°
Element x y z (fractional)
1 Ni 0.393 0.393 0.393
2 Ni 0.607 0.607 0.607
3 As 0.215 0.215 0.215
4 As 0.785 0.785 0.785
5 As 0.000 0.000 0.000

Properties
offset from the most stable computed form = 0.1615 eV/atom
formation energy = -0.038 eV per atom



# 5
Entry from Alexandria: a relaxed Ni4As3 crystal (PBE-GGA).

Cell: 10.832 10.832 10.832 Å, 163.43 163.43 23.52°
Element x y z (fractional)
1 Ni 0.877 0.877 0.000
2 Ni 0.441 0.441 0.000
3 Ni 0.123 0.123 0.000
4 Ni 0.559 0.559 0.000
5 As 0.000 0.000 0.000
6 As 0.673 0.673 0.000
7 As 0.327 0.327 0.000

Properties
offset from the most stable computed form = 0.0000 eV/atom
formation energy = -0.146 eV per atom



# 6
Entry from Alexandria: a relaxed NiAs3 crystal (PBE-GGA).

Cell: 8.605 8.605 3.755 Å, 90.00 90.00 120.00°
Element x y z (fractional)
1 As 0.235 0.470 0.750
2 As 0.235 0.765 0.750
3 As 0.765 0.235 0.250
4 As 0.470 0.235 0.250
5 As 0.765 0.530 0.250
6 As 0.530 0.765 0.750
7 Ni 0.667 0.333 0.750
8 Ni 0.333 0.667 0.250

Properties
offset from the most stable computed form = 0.0587 eV/atom
formation energy = 0.070 eV per atom



# 7
Entry from Alexandria: a relaxed NiAs3 crystal (PBE-GGA).

Cell: 2.931 2.800 9.886 Å, 59.21 90.00 90.00°
Element x y z (fractional)
1 Ni 0.500 0.250 0.250
2 As 0.000 0.388 0.438
3 As 0.000 0.112 0.062
4 As 0.500 0.750 0.750

Properties
offset from the most stable computed form = 0.0840 eV/atom
formation energy = 0.095 eV per atom



# 8
Entry from Alexandria: a relaxed Ni3As crystal (PBE-GGA).

Cell: 3.746 2.716 5.004 Å, 71.74 90.00 90.00°
Element x y z (fractional)
1 Ni 0.500 0.852 0.756
2 Ni 0.500 0.148 0.244
3 Ni 0.000 0.500 0.500
4 As 0.000 0.000 0.000

Properties
formation energy = -0.042 eV per atom



Respective uncorrected energy values: -4.70 -5.30 -5.49 -5.14 -5.44 -4.86 -4.84 -5.54 eV per atom.